[1]
Density functional theory data (GGA-PBE) for a relaxed structure of ScTi2P.

Raw total energy: -28.46 eV per cell
DFT formation energy: -0.2311 eV per atom
SG: R-3m
Volume: 19.88 Å³ per atom
Total magnetization: 1.1 μB/f.u.

Cell: 3.319 3.319 8.551 Å, 78.81 78.81 60.00°
Site moments in Bohr magnetons follow the coordinates.
Sites, in units of the cell vectors:
Ti1 0.890 0.890 0.330  0.24
Ti2 0.110 0.110 0.670  0.24
Sc1 0.000 0.000 0.000  0.40
P1 0.500 0.500 0.500  -0.01



[2]
Density functional theory data (GGA-PBE) for a relaxed structure of Sc2TiP3.

Raw total energy: -89.81 eV per cell
DFT formation energy: -1.3526 eV per atom
SG: C2/m
Volume: 17.49 Å³ per atom
Total magnetization: 0.0 μB/f.u.

Cell: 6.353 6.353 6.373 Å, 99.56 99.56 120.08°
Sites, in units of the cell vectors:
P1 0.414 0.088 0.241
P2 0.755 0.747 0.241
P3 0.071 0.405 0.238
P4 0.912 0.586 0.759
P5 0.253 0.245 0.759
P6 0.595 0.929 0.762
Ti1 0.000 0.000 0.000
Ti2 0.666 0.334 0.000
Sc1 0.333 0.667 0.000
Sc2 0.170 0.830 0.500
Sc3 0.833 0.167 0.500
Sc4 0.497 0.503 0.500



[3]
Density functional theory data (GGA-PBE) for a relaxed structure of ScTiP2.

Offset from the most stable computed form: 520 meV per atom
Raw total energy: -28.13 eV per cell
DFT formation energy: -0.7706 eV per atom
SG: Fm-3m
Volume: 16.07 Å³ per atom
Total magnetization: 1.2 μB/f.u.

Cell: 4.497 4.497 4.497 Å, 60.00 60.00 60.00°
Site moments in Bohr magnetons follow the coordinates.
Sites, in units of the cell vectors:
P1 0.750 0.750 0.750  -0.05
P2 0.250 0.250 0.250  -0.05
Ti1 0.500 0.500 0.500  0.84
Sc1 0.000 0.000 0.000  0.20



[4]
Density functional theory data (GGA-PBE) for a relaxed structure of ScTiP3.

Offset from the most stable computed form: 0 meV per atom
Raw total energy: -31.27 eV per cell
DFT formation energy: -0.1620 eV per atom
SG: Pm-3m
Volume: 20.10 Å³ per atom
Total magnetization: 0.0 μB/f.u.

Cell: 4.649 4.649 4.649 Å, 90.00 90.00 90.00°
Sites, in units of the cell vectors:
Ti1 0.000 0.000 0.000
P1 0.500 0.000 0.000
P2 0.000 0.500 0.000
P3 0.000 0.000 0.500
Sc1 0.500 0.500 0.500



[5]
Density functional theory data (GGA-PBE) for a relaxed structure of ScTiP2.

Offset from the most stable computed form: 0 meV per atom
Raw total energy: -30.21 eV per cell
DFT formation energy: -1.2907 eV per atom
SG: R-3m
Volume: 16.93 Å³ per atom
Total magnetization: 0.0 μB/f.u.

Cell: 3.616 3.616 6.333 Å, 73.41 73.41 60.00°
Sites, in units of the cell vectors:
Sc1 0.500 0.500 0.500
Ti1 0.000 0.000 0.000
P1 0.745 0.745 0.764
P2 0.255 0.255 0.236



[6]
Density functional theory data (GGA-PBE) for a relaxed structure of ScTiP2.

Offset from the most stable computed form: 584 meV per atom
Raw total energy: -55.74 eV per cell
DFT formation energy: -0.7064 eV per atom
SG: I-42d
Volume: 23.46 Å³ per atom
Total magnetization: 0.0 μB/f.u.

Cell: 5.754 5.754 6.978 Å, 65.65 65.65 90.00°
Sites, in units of the cell vectors:
P1 0.649 0.125 0.250
P2 0.101 0.625 0.250
P3 0.375 0.351 0.750
P4 0.875 0.899 0.750
Sc1 0.250 0.750 0.500
Sc2 0.500 0.500 0.000
Ti1 0.750 0.250 0.500
Ti2 0.000 0.000 0.000



[7]
Density functional theory data (GGA-PBE) for a relaxed structure of Sc2TiP.

Raw total energy: -53.85 eV per cell
DFT formation energy: -0.2394 eV per atom
SG: I-42d
Volume: 19.96 Å³ per atom
Total magnetization: 0.4 μB/f.u.

Cell: 7.809 7.809 6.111 Å, 50.29 50.29 90.00°
Site moments in Bohr magnetons follow the coordinates.
Sites, in units of the cell vectors:
P1 0.250 0.750 0.500  -0.01
P2 0.500 0.500 0.000  -0.01
Sc1 0.567 0.125 0.250  -0.04
Sc2 0.375 0.433 0.750  -0.05
Sc3 0.875 0.817 0.750  -0.05
Sc4 0.183 0.625 0.250  -0.04
Ti1 0.000 0.000 0.000  0.42
Ti2 0.750 0.250 0.500  0.43



[8]
Density functional theory data (GGA-PBE) for a relaxed structure of Tm2ScTiP4.

Raw total energy: -56.18 eV per cell
DFT formation energy: -1.4212 eV per atom
SG: P2/m
Volume: 19.18 Å³ per atom
Total magnetization: 0.0 μB/f.u.

Cell: 3.784 6.553 6.557 Å, 109.31 90.00 90.00°
Sites, in units of the cell vectors:
P1 0.500 0.764 0.772
P2 0.500 0.236 0.228
P3 0.000 0.249 0.767
P4 0.000 0.751 0.233
Sc1 0.500 0.500 0.000
Tm1 0.000 0.500 0.500
Tm2 0.500 0.000 0.500
Ti1 0.000 0.000 0.000



[9]
Density functional theory data (GGA-PBE) for a relaxed structure of ScTi2VP.

Raw total energy: -36.09 eV per cell
DFT formation energy: 0.1120 eV per atom
SG: P4/mmm
Volume: 19.65 Å³ per atom
Total magnetization: 0.0 μB/f.u.

Cell: 4.532 4.784 4.532 Å, 90.00 90.00 90.00°
Sites, in units of the cell vectors:
Ti1 0.000 0.000 0.500
Ti2 0.500 0.000 0.000
P1 0.000 0.000 0.000
V1 0.500 0.500 0.500
Sc1 0.000 0.500 0.000



[10]
Density functional theory data (GGA-PBE) for a relaxed structure of Sc3TlP.

Offset from the most stable computed form: 372 meV per atom
Raw total energy: -57.18 eV per cell
DFT formation energy: -0.3641 eV per atom
SG: Cmcm
Volume: 21.55 Å³ per atom
Total magnetization: 0.0 μB/f.u.

Cell: 7.876 7.876 4.778 Å, 90.00 90.00 133.35°
Sites, in units of the cell vectors:
Sc1 0.416 0.078 0.750
Sc2 0.000 0.000 0.500
Sc3 0.922 0.584 0.750
Sc4 0.584 0.922 0.250
Sc5 0.078 0.416 0.250
Sc6 0.000 0.000 0.000
P1 0.180 0.820 0.250
P2 0.820 0.180 0.750
Tl1 0.434 0.566 0.750
Tl2 0.566 0.434 0.250



[11]
Density functional theory data (GGA-PBE) for a relaxed structure of ScTlP.

Offset from the most stable computed form: 5 meV per atom
Raw total energy: -33.06 eV per cell
DFT formation energy: -0.8066 eV per atom
SG: P1
Volume: 24.32 Å³ per atom
Total magnetization: 0.0 μB/f.u.

Cell: 3.680 3.713 10.839 Å, 91.17 99.71 90.00°
Sites, in units of the cell vectors:
P1 0.995 0.113 0.299
P2 0.627 0.631 0.567
Sc1 0.506 0.614 0.321
Sc2 0.118 0.129 0.547
Tl1 0.387 0.110 0.053
Tl2 0.778 0.600 0.836



[12]
Density functional theory data (GGA-PBE) for a relaxed structure of ScTlP.

Offset from the most stable computed form: 651 meV per atom
Raw total energy: -14.59 eV per cell
DFT formation energy: -0.1612 eV per atom
SG: F-43m
Volume: 24.46 Å³ per atom
Total magnetization: 0.0 μB/f.u.

Cell: 4.700 4.700 4.700 Å, 60.00 60.00 60.00°
Sites, in units of the cell vectors:
Tl1 0.500 0.500 0.500
Sc1 0.000 0.000 0.000
P1 0.250 0.250 0.250



Q: Among the records above, which one has the highest total magnetization?
A: number 3



Q: What is the DFT formation energy in the tenth record?
A: -0.3641 eV per atom



Q: total magnetization of number 2 (Sc2TiP3)?
A: 0.0 μB/f.u.



Q: Among the records above, which one has the highest total magnetization?
A: number 3